Below is an optimized crystal structure of Nd8HgRh2, with properties calculated at the PBE level.

Cell lengths 8.6814, 13.9127, 5.7619 Å; angles 90.00, 106.60, 90.00 degrees
Last column: nearest neighbours and their distance in Å.
Space group C2/m (No. 12)
Asymmetric unit:
Nd 0.0000 0.2393 0.0000 [4 per cell]  2 Rh 2.96
Nd 0.1092 0.5000 0.8121 [4 per cell]  1 Hg 3.25, 4 Nd 3.26-3.55, 2 Rh 3.43
Nd 0.2111 0.1246 0.5658 [8 per cell]  2 Rh 2.89-2.90
Hg 0.0000 0.0000 0.0000 [2 per cell]  4 Nd 3.25-3.33
Rh 0.0000 0.2889 0.5000 [4 per cell]  6 Nd 2.89-2.96

## Properties
The calculated total energy comes out at -112.5 eV per cell. The energy of formation from the pure elements comes out at -282 meV per atom.